[1]
Ho2PaTi | PBE | relaxed

Properties
DFT total energy: -6.2168 eV per atom
Crystal system: trigonal
Space-group type: R-3m

Geometry as extended XYZ:
```
4
Lattice="3.2698 0.0000 0.0000 1.6349 2.8317 0.0000 1.6349 0.9439 11.4141" Properties=species:S:1:pos:R:3 pbc="T T T"
Pa 3.2698 1.8878 5.7070
Ho 1.6349 0.9439 8.4846
Ho 4.9047 2.8317 2.9295
Ti 0.0000 0.0000 0.0000
```


[2]
Na2CaPb | PBE | relaxed

Properties
DFT total energy: -2.2626 eV per atom
Crystal system: tetragonal
Space-group type: P4/mmm

Geometry as extended XYZ:
```
4
Lattice="5.6057 0.0000 0.0000 0.0000 4.7425 0.0000 0.0000 0.0000 4.7425" Properties=species:S:1:pos:R:3 pbc="T T T"
Pb 2.8028 0.0000 0.0000
Na 0.0000 0.0000 2.3712
Na 0.0000 2.3712 0.0000
Ca 2.8028 2.3712 2.3712
```


[3]
CaV2Os | PBE | relaxed

Properties
Crystal system: orthorhombic
Polymorph energy (0 for the lowest one): 24 meV/atom
Space-group type: Cmcm

Geometry as extended XYZ:
```
16
Lattice="4.0844 0.0000 0.0000 0.0000 18.6743 0.0000 0.0000 0.0000 4.0803" Properties=species:S:1:pos:R:3 pbc="T T T"
Ca 0.0000 3.4836 1.0201
Ca 0.0000 15.1906 3.0602
Ca 2.0422 12.8208 1.0201
Ca 2.0422 5.8535 3.0602
Os 0.0000 7.1484 1.0201
Os 0.0000 11.5258 3.0602
Os 2.0422 16.4856 1.0201
Os 2.0422 2.1887 3.0602
V 0.0000 17.8646 1.0201
V 0.0000 0.8096 3.0602
V 2.0422 8.5275 1.0201
V 2.0422 10.1467 3.0602
V 0.0000 10.1841 1.0201
V 0.0000 8.4902 3.0602
V 2.0422 0.8470 1.0201
V 2.0422 17.8273 3.0602
```


[4]
Tm6IrPt2 | PBE | relaxed

Properties
DFT total energy: -6.1540 eV per atom
Crystal system: monoclinic
Space-group type: P2_1/c

Geometry as extended XYZ:
```
18
Lattice="-1.8417 5.0429 -3.6875 -2.5499 -4.5552 -4.9560 -8.7011 -0.2692 4.7242" Properties=species:S:1:pos:R:3 pbc="T T T"
Tm -6.1322 -0.1755 -6.6813
Tm -8.2351 0.9248 -3.6765
Tm -11.3875 0.8625 -2.0765
Tm -6.6360 2.3514 -0.6623
Tm -9.7498 2.3582 1.0127
Tm -4.5829 1.1708 -3.4885
Tm -6.9606 0.3940 2.7620
Tm -4.8576 -0.7063 -0.2428
Tm -1.7052 -0.6440 -1.8427
Tm -6.4567 -2.1329 -3.2570
Tm -3.3429 -2.1397 -4.9320
Tm -8.5099 -0.9523 -0.4308
Ir -2.1958 0.2439 -4.3217
Ir -4.3505 -0.1346 2.3621
Pt -9.3462 2.8101 -1.7969
Pt -9.7053 -1.4326 -2.9399
Pt -3.3874 1.6511 -0.9794
Pt -3.7466 -2.5916 -2.1224
```


[5]
LiB2C2 | PBE | relaxed

Properties
Crystal system: trigonal
Polymorph energy (0 for the lowest one): 54 meV/atom
Space-group type: P-3m1

Geometry as extended XYZ:
```
20
Lattice="-1.9885 -1.7801 -0.5704 2.3066 -0.0172 -1.4585 10.3971 -16.9477 16.6427" Properties=species:S:1:pos:R:3 pbc="T T T"
C 1.7666 -2.0583 0.2648
C 1.1508 -3.9759 1.8669
C 3.9463 -5.6113 3.7539
C 3.9336 -8.5119 6.3213
C 6.7726 -10.2182 8.2779
C 6.5420 -12.7636 10.4965
C 9.3809 -14.4699 12.4531
C 9.3682 -17.3706 15.0205
B 2.5681 -3.3648 1.5479
B 0.3493 -2.6693 0.5839
B 5.3638 -7.9219 6.0229
B 2.4889 -6.1569 4.0087
B 7.9469 -12.1324 10.1576
B 5.3676 -10.8495 8.6168
B 10.8257 -16.8249 14.7657
B 7.9507 -15.0600 12.7515
Li 3.7511 -6.1144 6.0043
Li 5.2060 -8.4860 8.3332
Li 7.7904 -12.6986 12.4701
Li 9.2453 -15.0702 14.7990
```


[6]
YFeAs2Br | PBE | relaxed

Properties
Crystal system: tetragonal
Polymorph energy (0 for the lowest one): 0 meV/atom
Space-group type: P4/mmm

Geometry as extended XYZ:
```
5
Lattice="-0.4949 2.4475 3.9037 -3.5503 -2.7050 1.2459 3.2381 -3.1509 2.3861" Properties=species:S:1:pos:R:3 pbc="T T T"
Y -0.4036 -1.7042 3.7678
As -1.7751 -1.3525 0.6229
As -0.2475 1.2237 1.9518
Fe 0.0000 0.0000 0.0000
Br 1.6190 -1.5755 1.1930
```


[7]
La3PmSn4 | PBE | relaxed

Properties
DFT total energy: -5.0559 eV per atom
Crystal system: orthorhombic
Space-group type: Immm

Geometry as extended XYZ:
```
8
Lattice="3.9481 0.0000 0.0000 0.0000 7.2988 -0.8257 -1.9740 -2.6230 9.4860" Properties=species:S:1:pos:R:3 pbc="T T T"
La 0.0000 3.6494 -0.4129
La 0.0000 0.4266 3.7801
La 1.9740 4.2492 4.8801
Pm 1.9740 0.0000 0.0000
Sn 0.0000 2.2562 6.5811
Sn 1.9740 2.4196 2.0791
Sn 1.9740 5.4031 1.7403
Sn 0.0000 -0.7274 6.9199
```


[8]
CoPb | PBE | relaxed

Properties
DFT total energy: -4.7490 eV per atom
Crystal system: tetragonal
Space-group type: I4_1/amd

Geometry as extended XYZ:
```
4
Lattice="-1.9977 -5.0561 1.8249 1.9353 -5.0945 -1.7849 1.8361 5.0719 1.9466" Properties=species:S:1:pos:R:3 pbc="T T T"
Co 0.0000 0.0000 0.0000
Co 1.8701 -2.5489 0.0908
Pb -0.0312 -5.0753 0.0200
Pb -0.0964 -2.5297 1.8957
```


[9]
Cr2ReOs | PBE | relaxed

Properties
DFT total energy: -10.5042 eV per atom
Crystal system: orthorhombic
Space-group type: Cmmm

Geometry as extended XYZ:
```
4
Lattice="-2.1079 1.4518 0.5836 -0.2118 -2.4136 1.0107 3.7414 2.6109 7.0192" Properties=species:S:1:pos:R:3 pbc="T T T"
Cr 3.7410 2.6106 7.0183
Cr 1.8712 1.3058 3.5104
Os -0.2245 0.1718 2.5519
Re 1.6462 1.4773 6.0615
```


[10]
BaZr2Se | PBE | relaxed

Properties
DFT total energy: -5.4286 eV per atom
Crystal system: tetragonal
Space-group type: I-4m2

Geometry as extended XYZ:
```
4
Lattice="5.7051 -0.0092 0.0000 1.8242 5.4056 0.0000 -3.7646 -2.6982 3.3310" Properties=species:S:1:pos:R:3 pbc="T T T"
Ba 3.7646 2.6982 0.0000
Se 2.8525 -0.0046 1.6655
Zr 0.0000 0.0000 0.0000
Zr 0.9121 2.7028 1.6655
```


[11]
TiPSCl2 | PBE | relaxed

Properties
Crystal system: tetragonal
Polymorph energy (0 for the lowest one): 893 meV/atom
Space-group type: P4/mmm

Geometry as extended XYZ:
```
5
Lattice="4.5898 0.0000 0.0000 0.0000 4.5898 0.0000 0.0000 0.0000 4.9094" Properties=species:S:1:pos:R:3 pbc="T T T"
P 0.0000 0.0000 2.4547
S 0.0000 0.0000 0.0000
Cl 0.0000 2.2949 0.0000
Cl 2.2949 0.0000 0.0000
Ti 2.2949 2.2949 2.4547
```


[12]
RbBa2Np3S8 | PBE | relaxed

Properties
DFT total energy: -6.9789 eV per atom
Crystal system: trigonal
Space-group type: R3m

Geometry as extended XYZ:
```
14
Lattice="8.3805 0.0000 0.0000 4.1902 7.2577 0.0000 4.1902 2.4192 7.4664" Properties=species:S:1:pos:R:3 pbc="T T T"
Rb 12.5707 7.2577 2.9509
Ba 4.1902 2.4192 4.6654
Ba 8.3805 4.8385 3.7072
Np 8.3805 7.2370 0.0204
Np 10.4577 3.6392 0.0204
Np 6.3033 3.6392 0.0204
S 4.1902 2.4192 1.4608
S 12.5707 7.2577 6.1215
S 6.5165 3.7623 5.9973
S 10.2444 3.7623 5.9973
S 8.3805 6.9908 5.9973
S 8.3805 2.7025 1.4234
S 6.5306 5.9065 1.4234
S 10.2303 5.9065 1.4234
```